1.
The following is a GGA-PBE calculation of a geometry-optimized LiCdCl2 structure, from the Alexandria database.

Distance to the lowest polymorph of the same formula (meV per atom): 22
Crystal system: trigonal
Fermi-level density of states (states/eV per atom): 0.43
Total moment (Bohr magnetons per cell): 0.00
Raw total energy (eV per atom): -2.67
ΔE_f (raw) (meV per atom): -1037

Lattice parameters (Å, degrees): 7.6304 7.6304 7.6304 27.78 27.78 27.78
Sites, in units of the cell vectors:
Li1 0.0000 0.0000 0.0000
Cd1 0.1670 0.1670 0.1670
Cl1 0.3994 0.3994 0.3994
Cl2 0.6001 0.6001 0.6001


2.
The following is a GGA-PBE calculation of a geometry-optimized CuMoRh2 structure, from the Alexandria database.

Distance to the lowest polymorph of the same formula (meV per atom): 402
Crystal system: trigonal
Fermi-level density of states (states/eV per atom): 0.80
Total moment (Bohr magnetons per cell): 0.00
Raw total energy (eV per atom): -7.14
ΔH_f (0 K) (eV/f.u.): 1.07

Lattice parameters (Å, degrees): 4.8657 4.8657 4.8657 50.05 50.05 50.05
Sites, in units of the cell vectors:
Cu1 0.0000 0.0000 0.0000
Mo1 0.2059 0.2059 0.2059
Rh1 0.4129 0.4129 0.4129
Rh2 0.6180 0.6180 0.6180


3.
The following is a GGA-PBE calculation of a geometry-optimized Tb2YReO8 structure, from the Alexandria database.

Crystal system: orthorhombic
Fermi-level density of states (states/eV per atom): 0.00
Total moment (Bohr magnetons per cell): 0.00
Raw total energy (eV per atom): -8.43
ΔE_f (raw) (meV per atom): -2776

Lattice parameters (Å, degrees): 5.0642 5.0642 6.7828 90.00 90.00 90.72
Sites, in units of the cell vectors:
Tb1 0.0000 0.0000 0.2484
Tb2 0.0000 0.0000 0.7516
Y1 0.5000 0.5000 0.0000
Re1 0.5000 0.5000 0.5000
O1 0.1937 0.1937 0.0000
O2 0.2333 0.2333 0.5000
O3 0.3192 0.6808 0.2939
O4 0.3192 0.6808 0.7061
O5 0.6808 0.3192 0.2939
O6 0.6808 0.3192 0.7061
O7 0.7667 0.7667 0.5000
O8 0.8063 0.8063 0.0000


4.
The following is a GGA-PBE calculation of a geometry-optimized Cd3H9Ir2 structure, from the Alexandria database.

Crystal system: trigonal
Fermi-level density of states (states/eV per atom): 0.35
Total moment (Bohr magnetons per cell): 0.00
Raw total energy (eV per atom): -3.53

Lattice parameters (Å, degrees): 6.8368 6.8368 6.8368 72.54 72.54 72.54
Sites, in units of the cell vectors:
Cd1 0.0884 0.7500 0.4116
Cd2 0.2500 0.5884 0.9116
Cd3 0.4116 0.0884 0.7500
Cd4 0.5884 0.9116 0.2500
Cd5 0.7500 0.4116 0.0884
Cd6 0.9116 0.2500 0.5884
H1 0.0654 0.9290 0.7571
H2 0.0710 0.2429 0.9346
H3 0.0993 0.4007 0.2500
H4 0.2429 0.9346 0.0710
H5 0.2500 0.0993 0.4007
H6 0.2571 0.4290 0.5654
H7 0.4007 0.2500 0.0993
H8 0.4290 0.5654 0.2571
H9 0.4346 0.7429 0.5710
H10 0.5654 0.2571 0.4290
H11 0.5710 0.4346 0.7429
H12 0.5993 0.7500 0.9007
H13 0.7429 0.5710 0.4346
H14 0.7500 0.9007 0.5993
H15 0.7571 0.0654 0.9290
H16 0.9007 0.5993 0.7500
H17 0.9290 0.7571 0.0654
H18 0.9346 0.0710 0.2429
Ir1 0.1550 0.1550 0.1550
Ir2 0.3450 0.3450 0.3450
Ir3 0.6550 0.6550 0.6550
Ir4 0.8450 0.8450 0.8450


5.
The following is a GGA-PBE calculation of a geometry-optimized PrBiOs structure, from the Alexandria database.

Crystal system: triclinic
Fermi-level density of states (states/eV per atom): 0.67
Total moment (Bohr magnetons per cell): 0.00
Raw total energy (eV per atom): -6.88
ΔH_f (0 K) (eV/f.u.): -0.76

Lattice parameters (Å, degrees): 4.3072 4.5445 8.6589 74.90 89.93 89.82
Sites, in units of the cell vectors:
Pr1 0.2503 0.0959 0.3071
Pr2 0.7497 0.9041 0.6929
Bi1 0.2493 0.2998 0.9025
Bi2 0.7507 0.7002 0.0975
Os1 0.2501 0.4676 0.5666
Os2 0.7499 0.5324 0.4334


6.
The following is a GGA-PBE calculation of a geometry-optimized Ru2PbSe structure, from the Alexandria database.

Distance to the lowest polymorph of the same formula (meV per atom): 92
Crystal system: tetragonal
Fermi-level density of states (states/eV per atom): 1.36
Total moment (Bohr magnetons per cell): 1.25
Raw total energy (eV per atom): -6.11
ΔE_f (raw) (meV per atom): 323

Lattice parameters (Å, degrees): 3.4353 3.4353 6.3071 90.00 90.00 90.00
Sites, in units of the cell vectors:
Ru1 0.0000 0.0000 0.0000
Ru2 0.5000 0.5000 0.2672
Pb1 0.5000 0.5000 0.7670
Se1 0.0000 0.0000 0.3846


7.
The following is a GGA-PBE calculation of a geometry-optimized GdHfIn2 structure, from the Alexandria database.

Distance to the lowest polymorph of the same formula (meV per atom): 76
Crystal system: tetragonal
Fermi-level density of states (states/eV per atom): 0.75
Total moment (Bohr magnetons per cell): 8.01
Raw total energy (eV per atom): -7.60
ΔH_f (0 K) (eV/f.u.): -0.88

Lattice parameters (Å, degrees): 4.6487 4.6487 4.4888 90.00 90.00 90.00
Sites, in units of the cell vectors:
Gd1 0.0000 0.0000 0.0000
Hf1 0.5000 0.5000 0.0000
In1 0.0000 0.5000 0.5000
In2 0.5000 0.0000 0.5000


8.
The following is a GGA-PBE calculation of a geometry-optimized CdWBr structure, from the Alexandria database.

Distance to the lowest polymorph of the same formula (meV per atom): 998
Crystal system: cubic
Fermi-level density of states (states/eV per atom): 0.70
Total moment (Bohr magnetons per cell): 0.00
Raw total energy (eV per atom): -3.67
ΔE_f (raw) (meV per atom): 1507

Lattice parameters (Å, degrees): 4.5650 4.5650 4.5650 60.00 60.00 60.00
Sites, in units of the cell vectors:
Cd1 0.0000 0.0000 0.0000
W1 0.7500 0.7500 0.7500
Br1 0.5000 0.5000 0.5000


9.
The following is a GGA-PBE calculation of a geometry-optimized KU2S6 structure, from the Alexandria database.

Crystal system: monoclinic
Fermi-level density of states (states/eV per atom): 1.17
Total moment (Bohr magnetons per cell): 4.58
Raw total energy (eV per atom): -6.48
ΔE_f (raw) (meV per atom): -1098

Lattice parameters (Å, degrees): 5.2491 5.2491 8.3811 96.69 96.69 98.91
Sites, in units of the cell vectors:
K1 0.0000 0.0000 0.0000
U1 0.2498 0.7502 0.5000
U2 0.7502 0.2498 0.5000
S1 0.1732 0.4396 0.7509
S2 0.2235 0.2235 0.3804
S3 0.4396 0.1732 0.7509
S4 0.5604 0.8268 0.2491
S5 0.7765 0.7765 0.6196
S6 0.8268 0.5604 0.2491


10.
The following is a GGA-PBE calculation of a geometry-optimized Ac6OsPt2Rh structure, from the Alexandria database.

Crystal system: trigonal
Fermi-level density of states (states/eV per atom): 0.53
Total moment (Bohr magnetons per cell): 0.00
Raw total energy (eV per atom): -6.15
ΔH_f (0 K) (eV/f.u.): -6.21

Lattice parameters (Å, degrees): 8.2337 8.2337 8.2337 54.60 54.60 54.60
Sites, in units of the cell vectors:
Ac1 0.0033 0.3456 0.6511
Ac2 0.1457 0.8406 0.5085
Ac3 0.3456 0.6511 0.0033
Ac4 0.5085 0.1457 0.8406
Ac5 0.6511 0.0033 0.3456
Ac6 0.8406 0.5085 0.1457
Os1 0.7438 0.7438 0.7438
Pt1 0.4222 0.4222 0.4222
Pt2 0.9232 0.9232 0.9232
Rh1 0.2445 0.2445 0.2445


11.
The following is a GGA-PBE calculation of a geometry-optimized Ba2BiW structure, from the Alexandria database.

Crystal system: tetragonal
Fermi-level density of states (states/eV per atom): 1.33
Total moment (Bohr magnetons per cell): 2.91
Raw total energy (eV per atom): -4.47
ΔH_f (0 K) (eV/f.u.): 2.78

Lattice parameters (Å, degrees): 8.8770 8.8770 8.8770 95.33 95.33 144.51
Sites, in units of the cell vectors:
Ba1 0.3750 0.2056 0.3306
Ba2 0.7944 0.1250 0.1694
Ba3 0.8750 0.0444 0.6694
Ba4 0.9556 0.6250 0.8306
Bi1 0.2500 0.7500 0.5000
Bi2 0.5000 0.5000 0.0000
W1 0.0000 0.0000 0.0000
W2 0.7500 0.2500 0.5000


12.
The following is a GGA-PBE calculation of a geometry-optimized Cu3N structure, from the Alexandria database.

Crystal system: orthorhombic
Fermi-level density of states (states/eV per atom): 0.37
Total moment (Bohr magnetons per cell): 0.00
Raw total energy (eV per atom): -4.72
ΔE_f (raw) (meV per atom): 430

Lattice parameters (Å, degrees): 4.7183 4.7183 4.7183 144.53 132.76 60.44
Sites, in units of the cell vectors:
Cu1 0.0000 0.0000 0.0000
Cu2 0.3220 0.3220 0.0000
Cu3 0.6780 0.6780 0.0000
N1 0.5000 0.0000 0.5000